1.
# RbTmSeO

RbTmSeO after structural relaxation (GGA-PBE, OQMD).

Results
**Polymorph energy (0 for the lowest one)**: 0.338 eV/atom
**Symmetry**: No. 129
**VASP energy**: -5.372 eV per atom

POSCAR file:
```
RbTmSeO
1.0
-1.5338 -3.3181 -2.0365
2.3333 -2.5357 2.3741
-7.5284 -0.6410 6.7143
Se Tm O Rb
2 2 2 2
direct
0.2500 0.2500 0.7415 Se
0.7500 0.7500 0.2585 Se
0.2500 0.2500 0.0870 Tm
0.7500 0.7500 0.9130 Tm
0.7500 0.2500 0.0000 O
0.2500 0.7500 0.0000 O
0.7500 0.2500 0.5000 Rb
0.2500 0.7500 0.5000 Rb
```

***

2.
# Zn2CdSO6

Zn2CdSO6 after structural relaxation (GGA-PBE, OQMD).

Results
**Symmetry**: No. 2
**VASP energy**: -5.064 eV per atom

POSCAR file:
```
Zn2CdSO6
1.0
-1.3515 3.0201 5.6435
-3.0370 -5.8678 0.4781
5.9773 -2.8181 -0.7680
O Cd Zn S
12 2 4 2
direct
0.6537 0.1801 0.2200 O
0.8966 0.1771 0.9580 O
0.9542 0.8859 0.3013 O
0.3463 0.8199 0.7800 O
0.7092 0.5909 0.9705 O
0.3512 0.3173 0.5211 O
0.0458 0.1141 0.6987 O
0.2908 0.4091 0.0295 O
0.0856 0.5774 0.2994 O
0.1034 0.8229 0.0420 O
0.9144 0.4226 0.7006 O
0.6488 0.6827 0.4789 O
0.4916 0.1811 0.8348 Cd
0.5084 0.8189 0.1652 Cd
0.9983 0.2242 0.3303 Zn
0.5539 0.3589 0.3709 Zn
0.4461 0.6411 0.6291 Zn
0.0017 0.7758 0.6697 Zn
0.0369 0.2820 0.8492 S
0.9631 0.7180 0.1508 S
```

***

3.
# HfZrInC

HfZrInC after structural relaxation (GGA-PBE, OQMD).

Results
**Symmetry**: No. 164
**VASP energy**: -8.320 eV per atom

POSCAR file:
```
HfZrInC
1.0
-2.7532 -1.4321 -1.2525
1.0124 -0.7481 3.1008
-8.3251 11.2535 5.4331
C Zr In Hf
2 2 2 2
direct
0.0000 0.0000 0.5000 C
0.0000 0.0000 0.0000 C
0.3333 0.6667 0.4170 Zr
0.6667 0.3333 0.5830 Zr
0.3333 0.6667 0.7520 In
0.6667 0.3333 0.2480 In
0.6667 0.3333 0.9192 Hf
0.3333 0.6667 0.0808 Hf
```

***

4.
# NaHfSbOs

NaHfSbOs after structural relaxation (GGA-PBE, OQMD).

Results
**Polymorph energy (0 for the lowest one)**: 0.302 eV/atom
**Symmetry**: No. 216
**VASP energy**: -6.445 eV per atom

POSCAR file:
```
NaHfSbOs
1.0
0.0000 3.3668 3.3668
3.3668 0.0000 3.3668
3.3668 3.3668 0.0000
Na Hf Os Sb
1 1 1 1
direct
0.7500 0.7500 0.7500 Na
0.2500 0.2500 0.2500 Hf
0.0000 0.0000 0.0000 Os
0.5000 0.5000 0.5000 Sb
```

***

5.
# CdS

CdS after structural relaxation (GGA-PBE, OQMD).

Results
**Symmetry**: No. 67
**VASP energy**: -2.695 eV per atom

POSCAR file:
```
CdS
1.0
3.1515 -3.4942 0.0000
3.1515 3.4942 0.0000
0.0000 0.0000 5.0530
Cd S
2 2
direct
0.0000 0.0000 0.0000 Cd
0.5000 0.5000 0.0000 Cd
0.7500 0.2500 0.6853 S
0.2500 0.7500 0.3147 S
```

***

6.
# SmNpOs

SmNpOs after structural relaxation (GGA-PBE, OQMD).

Results
**Formation enthalpy at 0 K**: 246 meV/atom
**Polymorph energy (0 for the lowest one)**: 0.000 eV/atom
**Symmetry**: No. 216
**VASP energy**: -9.322 eV per atom

POSCAR file:
```
SmNpOs
1.0
0.0000 3.3337 3.3337
3.3337 0.0000 3.3337
3.3337 3.3337 0.0000
Os Sm Np
1 1 1
direct
0.0000 0.0000 0.0000 Os
0.7500 0.7500 0.7500 Sm
0.2500 0.2500 0.2500 Np
```

***

7.
# K3CuC4N4

K3CuC4N4 after structural relaxation (GGA-PBE, OQMD).

Results
**Symmetry**: No. 161
**VASP energy**: -6.670 eV per atom

POSCAR file:
```
K3CuC4N4
1.0
0.0000 -5.5382 5.7140
4.7962 -2.7691 -5.7140
4.7962 2.7691 5.7140
K C N Cu
6 8 8 2
direct
0.1708 0.4822 0.9769 K
0.5178 0.0231 0.1708 K
0.4769 0.9822 0.6708 K
0.6708 0.5231 0.0178 K
0.0178 0.3292 0.4769 K
0.9769 0.8292 0.5178 K
0.7365 0.4816 0.3564 C
0.0184 0.7635 0.8564 C
0.2365 0.1436 0.0184 C
0.3564 0.2635 0.5184 C
0.8854 0.1146 0.8854 C
0.3854 0.6146 0.3854 C
0.8564 0.9816 0.2365 C
0.5184 0.6436 0.7365 C
0.3164 0.6836 0.3164 N
0.8164 0.1836 0.8164 N
0.0182 0.6185 0.7653 N
0.5182 0.7347 0.8815 N
0.2653 0.1185 0.5182 N
0.8815 0.4818 0.2653 N
0.7653 0.9818 0.3815 N
0.3815 0.2347 0.0182 N
0.5001 0.4999 0.5001 Cu
0.0001 0.9999 0.0001 Cu
```

***

8.
# ErIn4GaIr

ErIn4GaIr after structural relaxation (GGA-PBE, OQMD).

Results
**Symmetry**: No. 123
**VASP energy**: -4.248 eV per atom

POSCAR file:
```
ErIn4GaIr
1.0
-0.8615 -2.1442 3.9891
2.5848 -3.5671 -1.3591
5.9703 3.1830 3.0002
In Er Ga Ir
4 1 1 1
direct
0.5000 0.0000 0.2946 In
0.5000 0.0000 0.7054 In
0.0000 0.5000 0.2946 In
0.0000 0.5000 0.7054 In
0.0000 0.0000 0.0000 Er
0.5000 0.5000 0.0000 Ga
0.0000 0.0000 0.5000 Ir
```

***

9.
# Er2Al3Co

Er2Al3Co after structural relaxation (GGA-PBE, OQMD).

Results
**Symmetry**: No. 194
**VASP energy**: -5.073 eV per atom

POSCAR file:
```
Er2Al3Co
1.0
-2.4700 1.6752 -4.5789
-2.9449 -0.9361 4.5082
1.0743 8.0986 2.3834
Al Er Co
6 4 2
direct
0.1619 0.3238 0.7500 Al
0.1619 0.8381 0.7500 Al
0.8381 0.6762 0.2500 Al
0.6763 0.8381 0.7500 Al
0.3237 0.1619 0.2500 Al
0.8381 0.1619 0.2500 Al
0.3333 0.6667 0.4445 Er
0.6667 0.3333 0.5555 Er
0.3333 0.6667 0.0555 Er
0.6667 0.3333 0.9445 Er
0.0000 0.0000 0.5000 Co
0.0000 0.0000 0.0000 Co
```

***

10.
# HfSiNiW

HfSiNiW after structural relaxation (GGA-PBE, OQMD).

Results
**Symmetry**: No. 216
**VASP energy**: -8.131 eV per atom

POSCAR file:
```
HfSiNiW
1.0
0.0000 3.1424 3.1424
3.1424 0.0000 3.1424
3.1424 3.1424 0.0000
Ni Si W Hf
1 1 1 1
direct
0.7500 0.7500 0.7500 Ni
0.0000 0.0000 0.0000 Si
0.5000 0.5000 0.5000 W
0.2500 0.2500 0.2500 Hf
```

***

11.
# Lu4Ta2Ge3C3

Lu4Ta2Ge3C3 after structural relaxation (GGA-PBE, OQMD).

Results
**Symmetry**: No. 15
**VASP energy**: -7.602 eV per atom

POSCAR file:
```
Lu4Ta2Ge3C3
1.0
5.0625 -2.9385 0.0000
5.0625 2.9385 0.0000
-3.4897 0.0000 13.7056
Lu C Ge Ta
8 6 6 4
direct
0.0430 0.1917 0.0998 Lu
0.9570 0.8083 0.9002 Lu
0.1233 0.2992 0.4002 Lu
0.7008 0.8767 0.0998 Lu
0.1917 0.0430 0.5998 Lu
0.2992 0.1233 0.9002 Lu
0.8767 0.7008 0.5998 Lu
0.8083 0.9570 0.4002 Lu
0.0000 0.5000 0.0000 C
0.5000 0.0000 0.5000 C
0.3450 0.8102 0.0003 C
0.6550 0.1898 0.9997 C
0.8102 0.3450 0.5003 C
0.1898 0.6550 0.4997 C
0.5822 0.6868 0.7479 Ge
0.6868 0.5822 0.2479 Ge
0.8492 0.1508 0.7500 Ge
0.4178 0.3132 0.2521 Ge
0.1508 0.8492 0.2500 Ge
0.3132 0.4178 0.7521 Ge
0.5260 0.3516 0.5779 Ta
0.4740 0.6484 0.4221 Ta
0.6484 0.4740 0.9221 Ta
0.3516 0.5260 0.0779 Ta
```

***

12.
# SmThHg4

SmThHg4 after structural relaxation (GGA-PBE, OQMD).

Results
**Formation enthalpy at 0 K**: -343 meV/atom
**Symmetry**: No. 10
**VASP energy**: -2.562 eV per atom

POSCAR file:
```
SmThHg4
1.0
3.4300 0.0000 0.0000
0.0000 5.0628 0.0000
-0.0016 0.0000 8.7614
Hg Th Sm
4 1 1
direct
0.2520 0.5000 0.8293 Hg
0.2522 0.0000 0.3336 Hg
0.2517 0.5000 0.1670 Hg
0.2493 0.0000 0.6626 Hg
0.7513 0.0000 0.9981 Th
0.7513 0.5000 0.4982 Sm
```